[1]
ZrBeSi | PBE-GGA | optimized geometry

The magnetization is 0.01 μB per formula unit. The calculation puts the offset from the most stable computed form at 0.909 eV per atom.

The space group is P-62m (No. 189) and the conventional cell measures 7.2079, 7.2079 and 3.7816 Å, with angles of 90.00, 90.00 and 120.00 degrees. The asymmetric unit holds Zr at (0.0000, 0.0000, 0.0000), Zr at (0.3333, 0.6667, 0.5000), Be at (0.0000, 0.4047, 0.0000) and Si at (0.0000, 0.2662, 0.5000).



[2]
Nd2Co | PBE-GGA | optimized geometry

The magnetization is 0.00 μB per formula unit. The formation energy comes out at 3.6 eV/f.u.

The space group is Fd-3m (No. 227, origin choice 2) and the conventional cell measures 8.640, 8.640 and 8.640 Å, with angles of 90.00, 90.00 and 90.00 degrees. The asymmetric unit holds Nd at (0.000, 0.000, 0.000) and Co at (0.125, 0.125, 0.625).



Repeat the second record exactly.
Nd2Co | PBE-GGA | optimized geometry

The magnetization is 0.00 μB per formula unit. The formation energy comes out at 3.6 eV/f.u.

The space group is Fd-3m (No. 227, origin choice 2) and the conventional cell measures 8.640, 8.640 and 8.640 Å, with angles of 90.00, 90.00 and 90.00 degrees. The asymmetric unit holds Nd at (0.000, 0.000, 0.000) and Co at (0.125, 0.125, 0.625).